Entry 1:
9
Lattice="5.2780 0.0012 -0.0008 2.6393 6.1552 0.7593 2.6364 3.4927 10.6763" Properties=species:S:1:pos:R:3 comment="Ba3Na2Sn4 | Alexandria via LeMat-Bulk | PBE | relaxed" e_form_ev_per_atom=-0.447 crystal_system=triclinic pbc="T T T"
Sn 2.6360 4.1193 3.9987
Sn 7.9176 5.5299 7.4361
Ba 5.2785 6.5638 4.8499
Sn 2.6361 2.5177 1.1714
Sn 7.9175 7.1315 10.2634
Na 5.2782 6.3044 8.7183
Na 5.2755 3.3447 2.7165
Ba 0.0000 0.0000 0.0000
Ba 5.2752 3.0853 6.5849

Entry 2:
12
Lattice="6.2659 0.0000 1.8648 2.8555 5.5775 1.8648 0.2064 0.1262 10.7657" Properties=species:S:1:pos:R:3 comment="BaNa2Sn9 | Alexandria via LeMat-Bulk | PBE | relaxed" e_form_ev_per_atom=-0.185 crystal_system=trigonal pbc="T T T"
Sn 7.0320 2.2984 5.2770
Sn 5.2504 5.2119 5.2770
Sn 5.5691 3.4053 10.1925
Na 1.4103 0.8624 6.7205
Sn 2.2959 3.4053 9.2184
Na 7.9175 4.8413 7.7748
Sn 4.0774 0.4918 9.2184
Sn 3.3068 2.0220 11.8077
Sn 6.0211 3.6817 2.6876
Ba 0.0000 0.0000 0.0000
Sn 4.6639 2.8519 7.2477
Sn 3.7588 2.2984 4.3028

Entry 3:
7
Lattice="5.0293 0.0000 0.0000 0.0000 5.0037 0.0000 0.0000 -2.5019 9.9287" Properties=species:S:1:pos:R:3 comment="BaNa4Sn2 | Alexandria via LeMat-Bulk | PBE | relaxed" e_form_ev_per_atom=-0.252 crystal_system=orthorhombic pbc="T T T"
Sn 2.5146 0.0000 8.5296
Na 2.5146 0.0000 3.4541
Na 2.5146 2.5019 6.4746
Ba 0.0000 0.0000 0.0000
Na 0.0000 2.5019 3.4491
Sn 2.5146 2.5018 1.3992
Na 0.0000 0.0000 6.4796